1.
Below is a crystal of ZrTlPb2 relaxed with PBEsol, with properties calculated at the SCAN level.

Output
* calculated total energy: -63.6301 eV per atom
* polymorph energy (0 for the lowest one): 15 kJ/mol of formula units
* energy relative to the elements: 0.57 kcal/mol of atoms
* theoretical density: 11.8 g cm⁻³
* symmetry: P4/mmm, No. 123

The structure in CIF format:
```
data_ZrTlPb2
_chemical_formula_sum 'Zr1 Tl1 Pb2'
_cell_length_a 4.356
_cell_length_b 4.788
_cell_length_c 4.788
_cell_angle_alpha 90.00
_cell_angle_beta 90.00
_cell_angle_gamma 90.00
_space_group_name_H-M_alt 'P 1'
_space_group_IT_number 1
loop_
_space_group_symop_operation_xyz
'x,y,z'
loop_
_atom_site_label
_atom_site_fract_x
_atom_site_fract_y
_atom_site_fract_z
_atom_site_occupancy
Pb1 0.000 0.500 0.000 1
Pb2 0.000 0.000 0.500 1
Tl1 0.500 0.500 0.500 1
Zr1 0.500 0.000 0.000 1
```

2.
Below is a crystal of TmPb3 relaxed with PBEsol, with properties calculated at the SCAN level.

Output
* calculated total energy: -70.1299 eV per atom
* energy relative to the elements: -7.75 kcal/mol of atoms
* theoretical density: 12.1 g cm⁻³
* symmetry: Pm-3m, No. 221

The structure in CIF format:
```
data_TmPb3
_chemical_formula_sum 'Tm1 Pb3'
_cell_length_a 4.769
_cell_length_b 4.769
_cell_length_c 4.769
_cell_angle_alpha 90.00
_cell_angle_beta 90.00
_cell_angle_gamma 90.00
_space_group_name_H-M_alt 'P 1'
_space_group_IT_number 1
loop_
_space_group_symop_operation_xyz
'x,y,z'
loop_
_atom_site_label
_atom_site_fract_x
_atom_site_fract_y
_atom_site_fract_z
_atom_site_occupancy
Tm1 0.000 0.000 0.000 1
Pb1 0.500 0.000 0.500 1
Pb2 0.000 0.500 0.500 1
Pb3 0.500 0.500 0.000 1
```

3.
Below is a crystal of PbW2 relaxed with PBEsol, with properties calculated at the SCAN level.

Output
* calculated total energy: -70.4891 eV per atom
* energy relative to the elements: 28.36 kcal/mol of atoms
* theoretical density: 15.3 g cm⁻³
* symmetry: P4/mmm, No. 123

The structure in CIF format:
```
data_PbW2
_chemical_formula_sum 'Pb1 W2'
_cell_length_a 3.654
_cell_length_b 3.654
_cell_length_c 4.685
_cell_angle_alpha 90.00
_cell_angle_beta 90.00
_cell_angle_gamma 90.00
_space_group_name_H-M_alt 'P 1'
_space_group_IT_number 1
loop_
_space_group_symop_operation_xyz
'x,y,z'
loop_
_atom_site_label
_atom_site_fract_x
_atom_site_fract_y
_atom_site_fract_z
_atom_site_occupancy
Pb1 0.000 0.000 0.000 1
W1 0.500 0.000 0.500 1
W2 0.000 0.500 0.500 1
```

4.
Below is a crystal of YPbW2 relaxed with PBEsol, with properties calculated at the SCAN level.

Output
* calculated total energy: -60.0904 eV per atom
* energy relative to the elements: 15.21 kcal/mol of atoms
* theoretical density: 14.1 g cm⁻³
* symmetry: P4/mmm, No. 123

The structure in CIF format:
```
data_YPbW2
_chemical_formula_sum 'Y1 Pb1 W2'
_cell_length_a 4.096
_cell_length_b 4.096
_cell_length_c 4.670
_cell_angle_alpha 90.00
_cell_angle_beta 90.00
_cell_angle_gamma 90.00
_space_group_name_H-M_alt 'P 1'
_space_group_IT_number 1
loop_
_space_group_symop_operation_xyz
'x,y,z'
loop_
_atom_site_label
_atom_site_fract_x
_atom_site_fract_y
_atom_site_fract_z
_atom_site_occupancy
W1 0.000 0.500 0.000 1
W2 0.500 0.000 0.000 1
Y1 0.500 0.500 0.500 1
Pb1 0.000 0.000 0.500 1
```